Entry P
B5C7 after structural relaxation, computed with PBE.

Unit cell a=4.585 b=2.572 c=6.963 alpha=90.00 beta=97.17 gamma=90.00
Space group Pm (No. 6)
Unique sites:
B  0.000  0.000  0.000 [1 per cell]
B  0.082  0.000  0.688 [1 per cell]
B  0.562  0.500  0.795 [1 per cell]
B  0.732  0.000  0.380 [1 per cell]
B  0.821  0.500  0.131 [1 per cell]
C  0.245  0.500  0.412 [1 per cell]
C  0.272  0.500  0.637 [1 per cell]
C  0.349  0.000  0.100 [1 per cell]
C  0.382  0.000  0.331 [1 per cell]
C  0.483  0.500  0.024 [1 per cell]
C  0.809  0.000  0.786 [1 per cell]
C  0.905  0.500  0.355 [1 per cell]

size of the total moment: 0.00 μB per cell

---

Entry Q
B5C7 after structural relaxation, computed with PBE.

Unit cell a=13.310 b=2.593 c=4.733 alpha=90.00 beta=104.83 gamma=90.00
Space group Cm (No. 8)
Unique sites:
B  0.000  0.000  0.000 [2 per cell]
B  0.005  0.500  0.525 [2 per cell]
B  0.149  0.000  0.186 [2 per cell]
B  0.167  0.000  0.838 [2 per cell]
B  0.338  0.000  0.718 [2 per cell]
C  0.128  0.500  0.633 [2 per cell]
C  0.180  0.500  0.391 [2 per cell]
C  0.292  0.000  0.030 [2 per cell]
C  0.295  0.500  0.488 [2 per cell]
C  0.337  0.500  0.210 [2 per cell]
C  0.456  0.500  0.299 [2 per cell]
C  0.460  0.000  0.816 [2 per cell]

size of the total moment: 0.00 μB per cell

---

Q: Which of them is the most stable? A: entry Q.

---

Entry P
CaZr3Ru after structural relaxation, computed with PBE.

Unit cell a=5.119 b=5.119 c=5.119 alpha=90.00 beta=90.00 gamma=90.00
Space group Pm-3m (No. 221)
Unique sites:
Ca  0.000  0.000  0.000 [1 per cell]
Zr  0.000  0.500  0.500 [3 per cell]
Ru  0.500  0.500  0.500 [1 per cell]

size of the total moment: 0.00 μB per cell

---

Entry Q
CaZr3Ru after structural relaxation, computed with PBE.

Unit cell a=4.866 b=4.866 c=4.866 alpha=90.00 beta=90.00 gamma=90.00
Space group Pm-3m (No. 221)
Unique sites:
Ca  0.000  0.000  0.000 [1 per cell]
Zr  0.000  0.000  0.500 [3 per cell]
Ru  0.500  0.500  0.500 [1 per cell]

size of the total moment: 0.00 μB per cell

---

Q: Which of them is the most stable? A: entry P.

---

Entry P
KMg2Mo after structural relaxation, computed with PBE.

Unit cell a=2.942 b=2.941 c=10.944 alpha=90.00 beta=90.27 gamma=90.00
Space group P2/m (No. 10)
Unique sites:
K  0.000  0.000  0.000 [1 per cell]
Mg  0.495  0.500  0.307 [2 per cell]
Mo  0.000  0.000  0.500 [1 per cell]

size of the total moment: 0.22 μB per cell

---

Entry Q
KMg2Mo after structural relaxation, computed with PBE.

Unit cell a=3.555 b=5.329 c=5.519 alpha=90.00 beta=90.00 gamma=90.00
Space group Pmmm (No. 47)
Unique sites:
K  0.000  0.000  0.000 [1 per cell]
Mg  0.000  0.500  0.500 [1 per cell]
Mg  0.500  0.500  0.000 [1 per cell]
Mo  0.500  0.000  0.500 [1 per cell]

size of the total moment: 3.55 μB per cell

---

Q: Which of them is the most stable? A: entry P.

---

Entry P
MnTl2Ir after structural relaxation, computed with PBE.

Unit cell a=3.152 b=5.417 c=9.316 alpha=90.00 beta=90.00 gamma=90.00
Space group Cmmm (No. 65)
Unique sites:
Mn  0.000  0.000  0.000 [2 per cell]
Tl  0.000  0.500  0.253 [4 per cell]
Ir  0.000  0.000  0.500 [2 per cell]

size of the total moment: 7.20 μB per cell

---

Entry Q
MnTl2Ir after structural relaxation, computed with PBE.

Unit cell a=4.157 b=4.157 c=8.899 alpha=90.00 beta=90.00 gamma=90.00
Space group I-4m2 (No. 119)
Unique sites:
Mn  0.000  0.000  0.000 [2 per cell]
Tl  0.000  0.000  0.500 [2 per cell]
Tl  0.000  0.500  0.750 [2 per cell]
Ir  0.000  0.500  0.250 [2 per cell]

size of the total moment: 8.22 μB per cell

---

Q: Which of them is the most stable? A: entry Q.

---

Entry P
LaDyYHo after structural relaxation, computed with PBE.

Unit cell a=8.120 b=8.120 c=8.120 alpha=90.00 beta=90.00 gamma=90.00
Space group F-43m (No. 216)
Unique sites:
La  0.000  0.000  0.000 [4 per cell]
Dy  0.000  0.000  0.500 [4 per cell]
Y  0.250  0.250  0.750 [4 per cell]
Ho  0.250  0.250  0.250 [4 per cell]

size of the total moment: 0.00 μB per cell

---

Entry Q
LaDyYHo after structural relaxation, computed with PBE.

Unit cell a=3.6028 b=3.6028 c=35.1459 alpha=90.00 beta=90.00 gamma=120.00
Space group R3m (No. 160, hexagonal axes)
Unique sites:
La  0.0000  0.0000  0.0000 [3 per cell]
Dy  0.0000  0.0000  0.2484 [3 per cell]
Y  0.0000  0.0000  0.4205 [3 per cell]
Ho  0.0000  0.0000  0.8351 [3 per cell]

size of the total moment: 0.00 μB per cell

---

Q: Which of them is the most stable? A: entry Q.

---

Entry P
K2ReBr after structural relaxation, computed with PBE.

Unit cell a=15.989 b=3.792 c=9.210 alpha=90.00 beta=93.81 gamma=90.00
Space group Cm (No. 8)
Unique sites:
K  0.000  0.000  0.000 [2 per cell]
K  0.030  0.000  0.478 [2 per cell]
K  0.238  0.500  0.856 [2 per cell]
K  0.302  0.500  0.473 [2 per cell]
Re  0.147  0.500  0.225 [2 per cell]
Re  0.222  0.000  0.159 [2 per cell]
Br  0.388  0.000  0.235 [2 per cell]
Br  0.410  0.000  0.718 [2 per cell]

size of the total moment: 0.00 μB per cell

---

Entry Q
K2ReBr after structural relaxation, computed with PBE.

Unit cell a=8.325 b=8.325 c=8.325 alpha=90.00 beta=90.00 gamma=90.00
Space group Fm-3m (No. 225)
Unique sites:
K  0.250  0.250  0.250 [8 per cell]
Re  0.000  0.000  0.000 [4 per cell]
Br  0.000  0.000  0.500 [4 per cell]

size of the total moment: 16.00 μB per cell

---

Q: Which of them is the most stable? A: entry P.